The following is a DFT calculation (PBE-GGA) of a relaxed structure of Tb3PdO6.

Output
As for the uncorrected formation energy: -2.72 eV per atom.

Cell and atoms, written as CIF:
```
data_Tb3PdO6
_cell_length_a 6.661
_cell_length_b 6.661
_cell_length_c 6.661
_cell_angle_alpha 92.67
_cell_angle_beta 92.67
_cell_angle_gamma 92.67
_space_group_name_H-M_alt 'P 1'
_space_group_IT_number 1
_space_group_name_Hall 'P 1'
loop_
_atom_site_label
_atom_site_fract_x
_atom_site_fract_y
_atom_site_fract_z
Tb1 0.437 0.928 0.748
Tb2 0.928 0.748 0.437
Tb3 0.252 0.563 0.072
Tb4 0.748 0.437 0.928
Tb5 0.072 0.252 0.563
Tb6 0.563 0.072 0.252
Pd1 0.000 0.000 0.000
Pd2 0.500 0.500 0.500
O1 0.324 0.896 0.066
O2 0.104 0.934 0.676
O3 0.588 0.797 0.465
O4 0.934 0.676 0.104
O5 0.465 0.588 0.797
O6 0.203 0.535 0.412
O7 0.797 0.465 0.588
O8 0.535 0.412 0.203
O9 0.066 0.324 0.896
O10 0.412 0.203 0.535
O11 0.896 0.066 0.324
O12 0.676 0.104 0.934
```



The following is a DFT calculation (PBE-GGA) of a relaxed structure of TbPdO4.

Output
As for the uncorrected formation energy: -1.51 eV per atom.

Cell and atoms, written as CIF:
```
data_TbPdO4
_cell_length_a 5.149
_cell_length_b 5.415
_cell_length_c 6.185
_cell_angle_alpha 110.38
_cell_angle_beta 114.60
_cell_angle_gamma 90.00
_space_group_name_H-M_alt 'P 1'
_space_group_IT_number 1
_space_group_name_Hall 'P 1'
loop_
_atom_site_label
_atom_site_fract_x
_atom_site_fract_y
_atom_site_fract_z
Tb1 0.219 0.750 0.000
Tb2 0.781 0.250 0.000
Pd1 0.500 0.500 0.500
Pd2 0.000 0.000 0.500
O1 0.203 0.152 0.326
O2 0.123 0.652 0.326
O3 0.683 0.947 0.166
O4 0.483 0.447 0.166
O5 0.317 0.053 0.834
O6 0.517 0.553 0.834
O7 0.797 0.848 0.674
O8 0.877 0.348 0.674
```



The following is a DFT calculation (PBE-GGA) of a relaxed structure of TbTl2PdO6.

Output
As for the uncorrected formation energy: -1.22 eV per atom.

Cell and atoms, written as CIF:
```
data_TbTl2PdO6
_cell_length_a 5.714
_cell_length_b 5.713
_cell_length_c 6.011
_cell_angle_alpha 61.61
_cell_angle_beta 61.59
_cell_angle_gamma 59.99
_space_group_name_H-M_alt 'P 1'
_space_group_IT_number 1
_space_group_name_Hall 'P 1'
loop_
_atom_site_label
_atom_site_fract_x
_atom_site_fract_y
_atom_site_fract_z
Tb1 0.810 0.810 0.570
Tl1 0.547 0.547 0.360
Tl2 0.027 0.027 0.919
Pd1 0.321 0.321 0.038
O1 0.578 0.189 0.256
O2 0.189 0.977 0.256
O3 0.977 0.578 0.256
O4 0.430 0.677 0.787
O5 0.678 0.105 0.787
O6 0.106 0.430 0.787
```



The following is a DFT calculation (PBE-GGA) of a relaxed structure of Tb2TlPdO5.

Output
As for the uncorrected formation energy: -2.10 eV per atom.

Cell and atoms, written as CIF:
```
data_Tb2TlPdO5
_cell_length_a 5.836
_cell_length_b 6.657
_cell_length_c 6.657
_cell_angle_alpha 90.00
_cell_angle_beta 90.00
_cell_angle_gamma 90.00
_space_group_name_H-M_alt 'P 1'
_space_group_IT_number 1
_space_group_name_Hall 'P 1'
loop_
_atom_site_label
_atom_site_fract_x
_atom_site_fract_y
_atom_site_fract_z
Tb1 0.500 0.673 0.173
Tb2 0.500 0.173 0.327
Tb3 0.500 0.827 0.673
Tb4 0.500 0.327 0.827
Tl1 0.000 0.500 0.500
Tl2 0.000 0.000 0.000
Pd1 0.000 0.000 0.500
Pd2 0.000 0.500 0.000
O1 0.500 0.500 0.500
O2 0.500 0.000 0.000
O3 0.266 0.135 0.635
O4 0.266 0.865 0.365
O5 0.266 0.365 0.135
O6 0.266 0.635 0.865
O7 0.734 0.135 0.635
O8 0.734 0.635 0.865
O9 0.734 0.865 0.365
O10 0.734 0.365 0.135
```



Which of these has the highest uncorrected formation energy? TbTl2PdO6



Number 2 is which compound? TbPdO4



The lowest uncorrected formation energy belongs to which entry? Tb3PdO6